Computed, not measured: Tb3Ho3Er2 after structural relaxation at the PBE level of DFT.

abc: 4.9847 4.9854 19.9513
angles: 90.00 90.00 90.00
Closest atoms and distances in Å follow each position.
Sites, in units of the cell vectors:
Tb 0.0000 0.0000 0.0000  8 Ho 3.52-3.53, 4 Tb 3.53
Tb 0.0000 0.5000 0.1253  4 Er 3.52, 6 Ho 3.52-3.53, 2 Tb 3.53
Tb 0.0000 0.5000 0.8747  4 Er 3.52, 6 Ho 3.52-3.53, 2 Tb 3.53
Tb 0.5000 0.0000 0.3747  4 Er 3.52, 6 Ho 3.52-3.53, 2 Tb 3.53
Tb 0.5000 0.0000 0.6253  4 Er 3.52, 6 Ho 3.52-3.53, 2 Tb 3.53
Tb 0.5000 0.5000 0.5000  8 Ho 3.52-3.53, 4 Tb 3.53
Ho 0.0000 0.0000 0.5000  8 Tb 3.52-3.53, 4 Ho 3.54
Ho 0.0000 0.5000 0.3744  4 Er 3.51-3.52, 6 Tb 3.52-3.53, 2 Ho 3.54
Ho 0.0000 0.5000 0.6256  4 Er 3.51-3.52, 6 Tb 3.52-3.53, 2 Ho 3.54
Ho 0.5000 0.0000 0.1256  4 Er 3.51-3.52, 6 Tb 3.52-3.53, 2 Ho 3.54
Ho 0.5000 0.0000 0.8744  4 Er 3.51-3.52, 6 Tb 3.52-3.53, 2 Ho 3.54
Ho 0.5000 0.5000 0.0000  8 Tb 3.52-3.53, 4 Ho 3.54
Er 0.0000 0.0000 0.2498  4 Ho 3.51-3.52, 4 Tb 3.52, 4 Er 3.52
Er 0.0000 0.0000 0.7502  4 Ho 3.51-3.52, 4 Tb 3.52, 4 Er 3.52
Er 0.5000 0.5000 0.2502  4 Ho 3.51-3.52, 4 Tb 3.52, 4 Er 3.52
Er 0.5000 0.5000 0.7498  4 Ho 3.51-3.52, 4 Tb 3.52, 4 Er 3.52

M_tot   0.000 μB/cell
Formation enthalpy at 0 K   0.020 eV/atom
DOS(E_F)   21.94 states/eV per cell